Entry 1:
RePPt2 | PBE | optimized geometry

Values from the calculation:
The calculation puts the formation enthalpy at 0 K at 311 meV/atom. The value obtained for the total DFT energy (no corrections) is -7.174 eV/atom. Its total magnetization is 0.6 μB/cell. The density of states at the Fermi level is 3.4 states/eV per cell. For the polymorph energy (0 for the lowest one), the calculation gives 154 kJ/mol of formula units.

Cell and atoms, written as CIF:
```
data_RePPt2
_chemical_formula_sum 'Re1 P1 Pt2'
_cell_length_a 4.777
_cell_length_b 4.777
_cell_length_c 2.721
_cell_angle_alpha 90.00
_cell_angle_beta 90.00
_cell_angle_gamma 90.00
_space_group_name_H-M_alt 'P 4/m m m'
_space_group_IT_number 123
_space_group_name_Hall '-P 4 2'
loop_
_atom_site_label
_atom_site_fract_x
_atom_site_fract_y
_atom_site_fract_z
_atom_site_occupancy
Re1 0.000 0.000 0.000 1
P1 0.500 0.500 0.000 1
Pt1 0.000 0.500 0.500 1
```

=====

Entry 2:
BaNaTmF6 | PBE | optimized geometry

Values from the calculation:
The uncorrected formation energy comes out at -3.755 eV/atom. The value obtained for the total DFT energy (no corrections) is -5.860 eV/atom. Its total magnetization is 0.3 μB/cell. The density of states at the Fermi level is 0.0 states/eV per cell.

Cell and atoms, written as CIF:
```
data_BaNaTmF6
_chemical_formula_sum 'Ba2 Na2 Tm2 F12'
_cell_length_a 5.9220
_cell_length_b 5.9220
_cell_length_c 11.0741
_cell_angle_alpha 90.00
_cell_angle_beta 90.00
_cell_angle_gamma 120.00
_space_group_name_H-M_alt 'P -3 1 c'
_space_group_IT_number 163
_space_group_name_Hall '-P 3 2c'
loop_
_atom_site_label
_atom_site_fract_x
_atom_site_fract_y
_atom_site_fract_z
_atom_site_occupancy
Ba1 0.0000 0.0000 0.0000 1
Na1 0.3333 0.6667 0.2500 1
Tm1 0.3333 0.6667 0.7500 1
F1 0.0237 0.3709 0.6426 1
```

=====

Entry 3:
BeReAu | PBE | optimized geometry

Values from the calculation:
The calculation puts the formation enthalpy at 0 K at 675 meV/atom. The value obtained for the total DFT energy (no corrections) is -5.809 eV/atom. Its total magnetization is 6.4 μB/cell. The density of states at the Fermi level is 12.2 states/eV per cell. For the polymorph energy (0 for the lowest one), the calculation gives 125 kJ/mol of formula units.

Cell and atoms, written as CIF:
```
data_BeReAu
_chemical_formula_sum 'Be4 Re4 Au4'
_cell_length_a 5.625
_cell_length_b 5.625
_cell_length_c 5.625
_cell_angle_alpha 90.00
_cell_angle_beta 90.00
_cell_angle_gamma 90.00
_space_group_name_H-M_alt 'F -4 3 m'
_space_group_IT_number 216
_space_group_name_Hall 'F -4 2 3'
loop_
_atom_site_label
_atom_site_fract_x
_atom_site_fract_y
_atom_site_fract_z
_atom_site_occupancy
Be1 0.000 0.000 0.000 1
Re1 0.250 0.250 0.750 1
Au1 0.250 0.250 0.250 1
```

=====

Entry 4:
PuInSnHg | PBE | optimized geometry

Values from the calculation:
The calculation puts the formation enthalpy at 0 K at -245 meV/atom. The value obtained for the total DFT energy (no corrections) is -5.588 eV/atom. Its total magnetization is 5.6 μB/cell. The density of states at the Fermi level is 12.2 states/eV per cell. For the polymorph energy (0 for the lowest one), the calculation gives 0 kJ/mol of formula units.

Cell and atoms, written as CIF:
```
data_PuInSnHg
_chemical_formula_sum 'Pu1 In1 Sn1 Hg1'
_cell_length_a 4.540
_cell_length_b 4.564
_cell_length_c 4.855
_cell_angle_alpha 90.00
_cell_angle_beta 90.00
_cell_angle_gamma 90.00
_space_group_name_H-M_alt 'P m m m'
_space_group_IT_number 47
loop_
_space_group_symop_operation_xyz
'x,y,z'
'-x,-y,-z'
'-x,-y,z'
'x,y,-z'
'x,-y,-z'
'-x,y,z'
'-x,y,-z'
'x,-y,z'
loop_
_atom_site_label
_atom_site_fract_x
_atom_site_fract_y
_atom_site_fract_z
_atom_site_occupancy
Pu1 0.000 0.000 0.000 1
In1 0.000 0.500 0.500 1
Sn1 0.500 0.500 0.000 1
Hg1 0.500 0.000 0.500 1
```

=====

> The highest total DFT energy (no corrections) belongs to which entry?

PuInSnHg

=====

> The lowest total DFT energy (no corrections) belongs to which entry?

RePPt2

=====

> What is the formula in the fourth record?

PuInSnHg

=====

> What is the total DFT energy (no corrections) in the third record?

-5.809 eV/atom